No. 1
Compound: HoLuHg2
Source: Alexandria
Functional: PBE
Structure: optimized geometry

abc: 5.2021 5.2021 5.2021
angles: 60.00 60.00 60.00
Element x y z (fractional)
Lu 0.2500 0.2500 0.2500
Hg 0.0000 0.0000 0.0000
Hg 0.5000 0.5000 0.5000
Ho 0.7500 0.7500 0.7500

D(E_F) in states/eV per cell: 2.897
Total DFT energy (no corrections) in eV/atom: -2.900
Energy relative to the elements in kJ per mole of atoms: -45.8

***

No. 2
Compound: Pm3Pr8Ho3
Source: Alexandria
Functional: PBE
Structure: optimized geometry

abc: 5.7407 9.9182 9.9182
angles: 102.67 73.18 73.18
Element x y z (fractional)
Pm 0.5000 0.5000 0.5000
Pm 0.8069 0.1931 0.1931
Pm 0.1931 0.8069 0.8069
Pr 0.6571 0.1174 0.5685
Pr 0.3429 0.8826 0.4315
Pr 0.6571 0.5685 0.1174
Pr 0.3429 0.4315 0.8826
Pr 0.8367 0.7675 0.5591
Pr 0.1633 0.2325 0.4409
Pr 0.8367 0.5591 0.7675
Pr 0.1633 0.4409 0.2325
Ho 0.5000 0.0000 0.0000
Ho 0.0000 0.8180 0.1820
Ho 0.0000 0.1820 0.8180

D(E_F) in states/eV per cell: 17.181
Total DFT energy (no corrections) in eV/atom: -4.617
Energy relative to the elements in kJ per mole of atoms: 10.9

***

No. 3
Compound: CaAlAu2
Source: Alexandria
Functional: PBE
Structure: optimized geometry

abc: 4.8903 4.8903 5.3295
angles: 74.36 74.36 46.14
Element x y z (fractional)
Ca 0.5011 0.5011 0.5112
Au 0.9866 0.9866 0.0593
Au 0.7382 0.7382 0.8089
Al 0.2741 0.2741 0.1206

D(E_F) in states/eV per cell: 1.511
Total DFT energy (no corrections) in eV/atom: -3.589
Energy relative to the elements in kJ per mole of atoms: -49.6

***

No. 4
Compound: KLiTlO2
Source: Alexandria
Functional: PBE
Structure: optimized geometry

abc: 4.6159 6.9551 7.2592
angles: 118.62 90.00 90.00
Element x y z (fractional)
K 0.2444 0.7500 0.5000
K 0.7556 0.2500 0.5000
Li 0.0000 0.0000 0.0000
Li 0.0000 0.5000 0.0000
Tl 0.5000 0.7500 0.0000
Tl 0.5000 0.2500 0.0000
O 0.7198 0.9001 0.8001
O 0.7198 0.5999 0.1999
O 0.2802 0.4001 0.8001
O 0.2802 0.0999 0.1999

D(E_F) in states/eV per cell: 3.831
Total DFT energy (no corrections) in eV/atom: -4.025
Uncorrected formation energy in kJ/mol of formula units: -466

***

No. 5
Compound: Ho7Sc2
Source: Alexandria
Functional: PBE
Structure: optimized geometry

abc: 3.4541 9.4544 9.4544
angles: 120.00 90.00 90.00
Each line ends with the local moment (μB).
Element x y z (fractional)
Ho 0.5000 0.6320 0.0000  0.06
Ho 0.5000 0.0000 0.6320  0.06
Ho 0.5000 0.3680 0.3680  0.06
Ho 0.0000 0.3071 0.0000  0.10
Ho 0.0000 0.0000 0.3071  0.10
Ho 0.0000 0.6929 0.6929  0.10
Ho 0.5000 0.0000 0.0000  0.19
Sc 0.0000 0.6667 0.3333  0.03
Sc 0.0000 0.3333 0.6667  0.03

Energy above the most stable polymorph in this dataset in eV per formula unit: 0.05
D(E_F) in states/eV per cell: 16.975
Total DFT energy (no corrections) in eV/atom: -4.919
Energy relative to the elements in kJ per mole of atoms: 4.7

***

No. 6
Compound: YRu2Au
Source: Alexandria
Functional: PBE
Structure: optimized geometry

abc: 4.8127 3.4006 4.7436
angles: 87.36 90.00 90.00
Element x y z (fractional)
Au 0.5000 0.7500 0.7500
Ru 0.0000 0.8661 0.0084
Ru 0.0000 0.6339 0.4916
Y 0.5000 0.2500 0.2500

Energy above the most stable polymorph in this dataset in eV per formula unit: 0.65
D(E_F) in states/eV per cell: 3.919
Total DFT energy (no corrections) in eV/atom: -6.957
Energy relative to the elements in kJ per mole of atoms: 11.2

***

No. 7
Compound: RbNaAgHg
Source: Alexandria
Functional: PBE
Structure: optimized geometry

abc: 4.8506 4.5267 6.8859
angles: 109.19 90.00 90.00
Element x y z (fractional)
Rb 0.5000 0.2629 0.5258
Na 0.0000 0.9770 0.9541
Ag 0.5000 0.5337 0.0673
Hg 0.0000 0.6568 0.3136

Energy above the most stable polymorph in this dataset in eV per formula unit: 0.00
D(E_F) in states/eV per cell: 1.311
Total DFT energy (no corrections) in eV/atom: -1.431
Energy relative to the elements in kJ per mole of atoms: -6.9

***

No. 8
Compound: Y2AlSb
Source: Alexandria
Functional: PBE
Structure: optimized geometry

abc: 8.0146 8.0146 8.0146
angles: 30.14 30.14 30.14
Element x y z (fractional)
Y 0.0026 0.0026 0.0026
Y 0.4974 0.4974 0.4974
Sb 0.7500 0.7500 0.7500
Al 0.2500 0.2500 0.2500

Energy above the most stable polymorph in this dataset in eV per formula unit: 0.77
D(E_F) in states/eV per cell: 3.616
Total DFT energy (no corrections) in eV/atom: -5.757
Uncorrected formation energy in kJ/mol of formula units: -216

***

No. 9
Compound: As5Pb12Au3
Source: Alexandria
Functional: PBE
Structure: optimized geometry

abc: 14.9287 14.9287 14.9287
angles: 109.47 109.47 109.47
Element x y z (fractional)
Au 0.7500 0.3750 0.1250
Au 0.8750 0.7500 0.1250
Au 0.3750 0.7500 0.6250
Au 0.2500 0.1250 0.3750
Au 0.8750 0.1250 0.2500
Au 0.3750 0.6250 0.2500
Au 0.6250 0.3750 0.7500
Au 0.1250 0.8750 0.7500
Au 0.7500 0.8750 0.6250
Au 0.6250 0.2500 0.3750
Au 0.1250 0.2500 0.8750
Au 0.2500 0.6250 0.8750
As 0.1250 0.3750 0.2500
As 0.0000 0.5000 0.0000
As 0.0000 0.0000 0.0000
As 0.3750 0.2500 0.1250
As 0.5000 0.0000 0.5000
As 0.5000 0.5000 0.0000
As 0.1250 0.7500 0.3750
As 0.7500 0.1250 0.8750
As 0.7500 0.6250 0.3750
As 0.3750 0.1250 0.7500
As 0.6250 0.8750 0.2500
As 0.5000 0.5000 0.5000
As 0.5000 0.0000 0.0000
As 0.0000 0.0000 0.5000
As 0.2500 0.3750 0.6250
As 0.2500 0.8750 0.1250
As 0.0000 0.5000 0.5000
As 0.8750 0.2500 0.6250
As 0.6250 0.7500 0.8750
As 0.8750 0.6250 0.7500
Pb 0.7307 0.1322 0.0579
Pb 0.3271 0.5579 0.4257
Pb 0.9421 0.3678 0.2693
Pb 0.5579 0.2307 0.1322
Pb 0.5986 0.7307 0.6729
Pb 0.9421 0.5743 0.1729
Pb 0.3271 0.7693 0.4014
Pb 0.0743 0.9014 0.1322
Pb 0.5743 0.9421 0.6729
Pb 0.7307 0.5986 0.1729
Pb 0.7693 0.4421 0.3678
Pb 0.8271 0.9257 0.0579
Pb 0.1322 0.7307 0.5579
Pb 0.3678 0.4257 0.0986
Pb 0.0986 0.9257 0.3678
Pb 0.4014 0.1322 0.5743
Pb 0.0986 0.1729 0.2307
Pb 0.4421 0.6729 0.0743
Pb 0.8271 0.9014 0.2693
Pb 0.1322 0.4014 0.0743
Pb 0.3678 0.9421 0.7693
Pb 0.5743 0.6322 0.4014
Pb 0.9257 0.8271 0.5579
Pb 0.7693 0.3271 0.9014
Pb 0.4257 0.3678 0.5986
Pb 0.0743 0.1729 0.4421
Pb 0.2307 0.6729 0.0986
Pb 0.1729 0.0986 0.7307
Pb 0.6322 0.0579 0.2307
Pb 0.8678 0.5986 0.9257
Pb 0.5579 0.3271 0.9257
Pb 0.5986 0.8678 0.4257
Pb 0.9014 0.8271 0.7693
Pb 0.9014 0.0743 0.6322
Pb 0.8678 0.2693 0.4421
Pb 0.1729 0.0743 0.9421
Pb 0.6322 0.5743 0.9014
Pb 0.4257 0.0579 0.3271
Pb 0.2693 0.4014 0.8271
Pb 0.2307 0.5579 0.6322
Pb 0.9257 0.0986 0.8678
Pb 0.6729 0.2307 0.5986
Pb 0.4421 0.7693 0.8678
Pb 0.0579 0.4257 0.8271
Pb 0.4014 0.2693 0.3271
Pb 0.0579 0.6322 0.7307
Pb 0.6729 0.4421 0.5743
Pb 0.2693 0.8678 0.9421

D(E_F) in states/eV per cell: 30.480
Total DFT energy (no corrections) in eV/atom: -3.791
Energy relative to the elements in kJ per mole of atoms: 8.5

***

No. 10
Compound: Li4HoAg7
Source: Alexandria
Functional: PBE
Structure: optimized geometry

abc: 5.2418 8.6091 6.0523
angles: 80.38 64.34 72.28
Element x y z (fractional)
Li 0.5772 0.2302 0.6153
Li 0.4228 0.7698 0.3847
Li 0.7277 0.6750 0.8697
Li 0.2723 0.3250 0.1303
Ho 0.0000 0.0000 0.0000
Ag 0.7788 0.9128 0.5296
Ag 0.2212 0.0872 0.4704
Ag 0.0504 0.6310 0.2682
Ag 0.9496 0.3690 0.7318
Ag 0.3460 0.5519 0.7560
Ag 0.5000 0.0000 0.0000
Ag 0.6540 0.4481 0.2440

D(E_F) in states/eV per cell: 3.882
Total DFT energy (no corrections) in eV/atom: -2.713
Energy relative to the elements in kJ per mole of atoms: -2.9

***

No. 11
Compound: ReAg2
Source: Alexandria
Functional: PBE
Structure: optimized geometry

abc: 6.7244 6.7244 3.6627
angles: 90.00 90.00 140.99
Element x y z (fractional)
Re 0.9391 0.0609 0.7500
Re 0.0609 0.9391 0.2500
Ag 0.5861 0.4139 0.7500
Ag 0.4139 0.5861 0.2500
Ag 0.2475 0.7525 0.7500
Ag 0.7525 0.2475 0.2500

Energy above the most stable polymorph in this dataset in eV per formula unit: 0.46
D(E_F) in states/eV per cell: 2.869
Total DFT energy (no corrections) in eV/atom: -5.478
Energy relative to the elements in kJ per mole of atoms: 55.2

***

No. 12
Compound: TeS2BrO8
Source: Alexandria
Functional: PBE
Structure: optimized geometry

abc: 5.0660 5.0660 10.1268
angles: 68.65 68.65 65.79
Each line ends with the local moment (μB).
Element x y z (fractional)
Te 0.0000 0.0000 0.0000  0.00
S 0.5483 0.5483 0.1851  0.00
S 0.4517 0.4517 0.8149  0.00
Br 0.0000 0.0000 0.5000  0.67
O 0.7699 0.3279 0.8321  0.00
O 0.7249 0.7249 0.0494  0.00
O 0.5609 0.5609 0.3209  0.02
O 0.4391 0.4391 0.6791  0.02
O 0.2751 0.2751 0.9506  0.00
O 0.3279 0.7699 0.8321  0.00
O 0.6721 0.2301 0.1679  0.00
O 0.2301 0.6721 0.1679  0.00

D(E_F) in states/eV per cell: 0.685
Total DFT energy (no corrections) in eV/atom: -5.281
Uncorrected formation energy in kJ/mol of formula units: -1026

***

No. 13
Compound: Pa3Pb5S12
Source: Alexandria
Functional: PBE
Structure: optimized geometry

abc: 14.1440 14.1440 14.1440
angles: 109.47 109.47 109.47
Each line ends with the local moment (μB).
Element x y z (fractional)
Pa 0.7500 0.3750 0.1250  0.49
Pa 0.8750 0.7500 0.1250  0.49
Pa 0.3750 0.7500 0.6250  0.49
Pa 0.2500 0.1250 0.3750  0.49
Pa 0.8750 0.1250 0.2500  0.49
Pa 0.3750 0.6250 0.2500  0.49
Pa 0.6250 0.3750 0.7500  0.49
Pa 0.1250 0.8750 0.7500  0.49
Pa 0.7500 0.8750 0.6250  0.49
Pa 0.6250 0.2500 0.3750  0.49
Pa 0.1250 0.2500 0.8750  0.49
Pa 0.2500 0.6250 0.8750  0.49
Pb 0.1250 0.3750 0.2500  0.00
Pb 0.0000 0.5000 0.0000  -0.01
Pb 0.0000 0.0000 0.0000  -0.01
Pb 0.3750 0.2500 0.1250  0.00
Pb 0.5000 0.0000 0.5000  -0.01
Pb 0.5000 0.5000 0.0000  -0.01
Pb 0.1250 0.7500 0.3750  0.00
Pb 0.7500 0.1250 0.8750  0.00
Pb 0.7500 0.6250 0.3750  0.00
Pb 0.3750 0.1250 0.7500  0.00
Pb 0.6250 0.8750 0.2500  0.00
Pb 0.5000 0.5000 0.5000  -0.01
Pb 0.5000 0.0000 0.0000  -0.01
Pb 0.0000 0.0000 0.5000  -0.01
Pb 0.2500 0.3750 0.6250  0.00
Pb 0.2500 0.8750 0.1250  0.00
Pb 0.0000 0.5000 0.5000  -0.01
Pb 0.8750 0.2500 0.6250  0.00
Pb 0.6250 0.7500 0.8750  0.00
Pb 0.8750 0.6250 0.7500  0.00
S 0.7334 0.1433 0.0653  -0.02
S 0.3319 0.5653 0.4220  -0.02
S 0.9347 0.3567 0.2666  -0.02
S 0.5653 0.2334 0.1433  -0.02
S 0.5901 0.7334 0.6681  -0.02
S 0.9347 0.5780 0.1681  -0.02
S 0.3319 0.7666 0.4099  -0.02
S 0.0780 0.9099 0.1433  -0.02
S 0.5780 0.9347 0.6681  -0.02
S 0.7334 0.5901 0.1681  -0.02
S 0.7666 0.4347 0.3567  -0.02
S 0.8319 0.9220 0.0653  -0.02
S 0.1433 0.7334 0.5653  -0.02
S 0.3567 0.4220 0.0901  -0.02
S 0.0901 0.9220 0.3567  -0.02
S 0.4099 0.1433 0.5780  -0.02
S 0.0901 0.1681 0.2334  -0.02
S 0.4347 0.6681 0.0780  -0.02
S 0.8319 0.9099 0.2666  -0.02
S 0.1433 0.4099 0.0780  -0.02
S 0.3567 0.9347 0.7666  -0.02
S 0.5780 0.6433 0.4099  -0.02
S 0.9220 0.8319 0.5653  -0.02
S 0.7666 0.3319 0.9099  -0.02
S 0.4220 0.3567 0.5901  -0.02
S 0.0780 0.1681 0.4347  -0.02
S 0.2334 0.6681 0.0901  -0.02
S 0.1681 0.0901 0.7334  -0.02
S 0.6433 0.0653 0.2334  -0.02
S 0.8567 0.5901 0.9220  -0.02
S 0.5653 0.3319 0.9220  -0.02
S 0.5901 0.8567 0.4220  -0.02
S 0.9099 0.8319 0.7666  -0.02
S 0.9099 0.0780 0.6433  -0.02
S 0.8567 0.2666 0.4347  -0.02
S 0.1681 0.0780 0.9347  -0.02
S 0.6433 0.5780 0.9099  -0.02
S 0.4220 0.0653 0.3319  -0.02
S 0.2666 0.4099 0.8319  -0.02
S 0.2334 0.5653 0.6433  -0.02
S 0.9220 0.0901 0.8567  -0.02
S 0.6681 0.2334 0.5901  -0.02
S 0.4347 0.7666 0.8567  -0.02
S 0.0653 0.4220 0.8319  -0.02
S 0.4099 0.2666 0.3319  -0.02
S 0.0653 0.6433 0.7334  -0.02
S 0.6681 0.4347 0.5780  -0.02
S 0.2666 0.8567 0.9347  -0.02

D(E_F) in states/eV per cell: 43.596
Total DFT energy (no corrections) in eV/atom: -5.590
Uncorrected formation energy in kJ/mol of formula units: -1471

***

No. 14
Compound: Ce6Si3S14
Source: Alexandria
Functional: PBE
Structure: optimized geometry

abc: 5.7637 10.2132 10.2132
angles: 120.00 90.00 90.00
Each line ends with the local moment (μB).
Element x y z (fractional)
Ce 0.2390 0.7881 0.1080  0.96
Ce 0.2390 0.8920 0.6800  0.96
Ce 0.2390 0.3200 0.2119  0.96
Ce 0.7574 0.5403 0.5731  0.92
Ce 0.7574 0.4269 0.9672  0.92
Ce 0.7574 0.0328 0.4597  0.92
Si 0.8240 0.0000 0.0000  0.01
Si 0.3425 0.3333 0.6667  0.01
Si 0.5262 0.6667 0.3333  -0.01
S 0.9708 0.0798 0.2203  -0.01
S 0.9708 0.7797 0.8595  -0.01
S 0.9708 0.1405 0.9202  -0.01
S 0.4842 0.2591 0.4456  -0.01
S 0.4842 0.5544 0.8135  -0.01
S 0.4842 0.1865 0.7409  -0.01
S 0.4590 0.0000 0.0000  -0.01
S 0.9748 0.3333 0.6667  -0.01
S 0.7243 0.7486 0.1813  -0.02
S 0.7243 0.8187 0.5672  -0.02
S 0.7243 0.4328 0.2514  -0.02
S 0.2298 0.5742 0.5106  -0.03
S 0.2298 0.4894 0.0635  -0.03
S 0.2298 0.9365 0.4258  -0.03

D(E_F) in states/eV per cell: 41.569
Total DFT energy (no corrections) in eV/atom: -6.253
Uncorrected formation energy in kJ/mol of formula units: -3295

***

No. 15
Compound: CdIr
Source: Alexandria
Functional: PBE
Structure: optimized geometry

abc: 2.8384 2.8384 4.7484
angles: 90.00 90.00 117.36
Element x y z (fractional)
Ir 0.5000 0.5000 0.5000
Cd 0.0000 0.0000 0.0000

D(E_F) in states/eV per cell: 2.175
Total DFT energy (no corrections) in eV/atom: -4.604
Energy relative to the elements in kJ per mole of atoms: 27.4

***

No. 16
Compound: YMgCu
Source: Alexandria
Functional: PBE
Structure: optimized geometry

abc: 4.5055 6.9567 8.2138
angles: 90.00 90.00 90.00
Element x y z (fractional)
Cu 0.2500 0.2448 0.8735
Cu 0.7500 0.2552 0.3735
Cu 0.7500 0.7552 0.1265
Cu 0.2500 0.7448 0.6265
Mg 0.2500 0.3616 0.5577
Mg 0.7500 0.1384 0.0577
Mg 0.7500 0.6384 0.4423
Mg 0.2500 0.8616 0.9423
Y 0.2500 0.9598 0.3270
Y 0.7500 0.5402 0.8270
Y 0.7500 0.0402 0.6730
Y 0.2500 0.4598 0.1730

Energy above the most stable polymorph in this dataset in eV per formula unit: 0.08
D(E_F) in states/eV per cell: 7.988
Total DFT energy (no corrections) in eV/atom: -4.244
Energy relative to the elements in kJ per mole of atoms: -18.5

***

No. 17
Compound: PIrW2
Source: Alexandria
Functional: PBE
Structure: optimized geometry

abc: 5.6761 5.6761 6.6611
angles: 64.78 64.78 90.00
Element x y z (fractional)
P 0.5000 0.5000 0.0000
P 0.2500 0.7500 0.5000
Ir 0.0000 0.0000 0.0000
Ir 0.7500 0.2500 0.5000
W 0.6158 0.1250 0.2500
W 0.1342 0.6250 0.2500
W 0.3750 0.3842 0.7500
W 0.8750 0.8658 0.7500

D(E_F) in states/eV per cell: 10.878
Total DFT energy (no corrections) in eV/atom: -9.287
Energy relative to the elements in kJ per mole of atoms: 73.0